1.
First-principles (PBE) data for crystalline La7TbHo12 at its relaxed geometry, as listed in Alexandria.

Cell lengths 11.340, 11.340, 11.340 Å; angles 90.00, 90.00, 90.00 degrees
Space group Im-3 (No. 204)
Unique sites:
1 La 0.000 0.000 0.500 [6 per cell]
2 La 0.250 0.250 0.250 [8 per cell]
3 Tb 0.000 0.000 0.000 [2 per cell]
4 Ho 0.000 0.247 0.246 [24 per cell]

Formation energy from the elements, eV/atom: 0.6245
Final energy, eV per cell: -163.129


2.
First-principles (PBE) data for crystalline Ni7Pt2Rh3 at its relaxed geometry, as listed in Alexandria.

Cell lengths 3.914, 22.853, 3.673 Å; angles 90.00, 90.00, 90.00 degrees
Space group Cmmm (No. 65)
Unique sites:
1 Ni 0.000 0.000 0.000 [2 per cell]
2 Ni 0.000 0.075 0.500 [4 per cell]
3 Ni 0.000 0.273 0.000 [4 per cell]
4 Ni 0.000 0.425 0.000 [4 per cell]
5 Pt 0.000 0.156 0.000 [4 per cell]
6 Rh 0.000 0.347 0.500 [4 per cell]
7 Rh 0.000 0.500 0.500 [2 per cell]

Formation energy from the elements, eV/atom: 0.1939
Final energy, eV per cell: -144.557


3.
First-principles (PBE) data for crystalline Rb3NdCu2Br9 at its relaxed geometry, as listed in Alexandria.

Cell lengths 7.6917, 7.6917, 9.5630 Å; angles 90.00, 90.00, 120.00 degrees
Space group P-3m1 (No. 164)
Unique sites:
1 Rb 0.0000 0.0000 0.0000 [1 per cell]
2 Rb 0.3333 0.6667 0.6900 [2 per cell]
3 Nd 0.0000 0.0000 0.5000 [1 per cell]
4 Cu 0.3333 0.6667 0.1369 [2 per cell]
5 Br 0.0000 0.5000 0.0000 [3 per cell]
6 Br 0.1740 0.3481 0.3229 [6 per cell]

Uncorrected formation energy, eV per atom: -1.27
Final energy, eV per cell: -49.954


4.
First-principles (PBE) data for crystalline La2Ag2Pb at its relaxed geometry, as listed in Alexandria.

Cell lengths 5.954, 5.954, 8.585 Å; angles 90.00, 90.00, 90.00 degrees
Space group I4/mmm (No. 139)
Unique sites:
1 La 0.000 0.500 0.250 [4 per cell]
2 Ag 0.000 0.000 0.149 [4 per cell]
3 Pb 0.000 0.000 0.500 [2 per cell]

Formation energy from the elements, eV/atom: -0.1527
Final energy, eV per cell: -40.058


5.
First-principles (PBE) data for crystalline As2WBr at its relaxed geometry, as listed in Alexandria.

Cell lengths 3.175, 4.185, 14.636 Å; angles 90.00, 90.00, 90.00 degrees
Space group Imm2 (No. 44)
Unique sites:
1 As 0.000 0.000 0.000 [2 per cell]
2 As 0.000 0.500 0.103 [2 per cell]
3 W 0.000 0.000 0.455 [2 per cell]
4 Br 0.000 0.500 0.812 [2 per cell]

Uncorrected formation energy, eV per atom: 0.29
Final energy, eV per cell: -45.528


6.
First-principles (PBE) data for crystalline TbDyHo2Sc2 at its relaxed geometry, as listed in Alexandria.

Cell lengths 6.786, 9.408, 5.450 Å; angles 90.00, 90.00, 90.00 degrees
Space group Pnnm (No. 58)
Unique sites:
1 Tb 0.000 0.000 0.000 [2 per cell]
2 Dy 0.000 0.500 0.500 [2 per cell]
3 Ho 0.250 0.167 0.500 [4 per cell]
4 Sc 0.250 0.333 0.000 [4 per cell]

Formation energy from the elements, eV/atom: 0.0753
Final energy, eV per cell: -61.199